# Zn2GaRu PBE optimized geometry
data_Zn2GaRu
_chemical_formula_sum 'Zn2 Ga1 Ru1'
_symmetry_space_group_name_H-M 'P 4/m m m'
_symmetry_Int_Tables_number 123
_symmetry_space_group_name_Hall '-P 4 2'
_cell_length_a 3.7680
_cell_length_b 3.7680
_cell_length_c 3.9853
_cell_angle_alpha 90.00
_cell_angle_beta 90.00
_cell_angle_gamma 90.00
loop_
_atom_site_label
_atom_site_fract_x
_atom_site_fract_y
_atom_site_fract_z
Zn1 0.0000 0.5000 0.0000
Ga1 0.0000 0.0000 0.5000
Ru1 0.5000 0.5000 0.5000
# Theoretical density: 8.85 g cm⁻³
# Formation energy from the elements: -125 meV per atom
# Total DFT energy (no corrections): -3.837 eV per atom